[1]
Compound: AlAsOsRh2
Source: Alexandria
Functional: PBE-GGA
Structure: optimized geometry

Computed properties:
energy relative to the elements = 5.13 eV per formula unit
raw total energy = -5.8395 eV per atom

abc: 4.801 4.606 4.801
angles: 90.00 90.00 90.00
Atoms (fractional coordinates):
1 Rh 0.500 0.000 0.000
2 Rh 0.000 0.000 0.500
3 As 0.000 0.500 0.000
4 Os 0.000 0.000 0.000
5 Al 0.500 0.500 0.500

***

[2]
Compound: Th2ZnIn
Source: Alexandria
Functional: PBE-GGA
Structure: optimized geometry

Computed properties:
energy relative to the elements = -0.76 eV per formula unit
raw total energy = -4.9037 eV per atom

abc: 6.741 6.619 6.619
angles: 64.50 59.39 59.39
Atoms (fractional coordinates):
1 Th 0.728 0.272 0.772
2 Th 0.228 0.272 0.772
3 Th 0.272 0.728 0.228
4 Th 0.772 0.728 0.228
5 In 0.750 0.791 0.709
6 In 0.250 0.209 0.291
7 Zn 0.750 0.217 0.283
8 Zn 0.250 0.783 0.717

***

[3]
Compound: TcBiRh
Source: Alexandria
Functional: PBE-GGA
Structure: optimized geometry

Computed properties:
energy relative to the elements = 1.13 eV per formula unit
raw total energy = -6.8242 eV per atom

abc: 3.092 3.092 6.242
angles: 75.67 75.69 90.05
Atoms (fractional coordinates):
1 Bi 0.621 0.750 0.520
2 Tc 0.303 0.434 0.153
3 Rh 0.928 0.059 0.903

***

[4]
Compound: KLiRu
Source: Alexandria
Functional: PBE-GGA
Structure: optimized geometry

Computed properties:
energy relative to the elements = 2.38 eV per formula unit
raw total energy = -3.3020 eV per atom

abc: 8.332 8.332 8.332
angles: 160.81 160.81 27.26
Atoms (fractional coordinates):
1 Li 0.300 0.300 0.000
2 Ru 0.682 0.682 0.000
3 K 0.018 0.018 0.000

***

[5]
Compound: PPtRh2
Source: Alexandria
Functional: PBE-GGA
Structure: optimized geometry

Computed properties:
energy relative to the elements = -1.33 eV per formula unit
raw total energy = -6.8702 eV per atom

abc: 8.238 8.238 8.238
angles: 19.91 19.91 19.91
Atoms (fractional coordinates):
1 Rh 0.764 0.764 0.764
2 Rh 0.236 0.236 0.236
3 P 0.500 0.500 0.500
4 Pt 0.000 0.000 0.000

***

[6]
Compound: Tb2AsO
Source: Alexandria
Functional: PBE-GGA
Structure: optimized geometry

Computed properties:
raw total energy = -6.7383 eV per atom

abc: 5.714 5.704 10.497
angles: 92.81 90.00 90.00
Atoms (fractional coordinates):
1 As 0.269 0.501 0.125
2 As 0.269 0.999 0.375
3 As 0.731 0.001 0.625
4 As 0.731 0.499 0.875
5 Tb 0.228 0.542 0.858
6 Tb 0.215 0.003 0.108
7 Tb 0.228 0.958 0.642
8 Tb 0.772 0.042 0.358
9 Tb 0.785 0.997 0.892
10 Tb 0.772 0.458 0.142
11 Tb 0.785 0.503 0.608
12 Tb 0.215 0.497 0.392
13 O 0.181 0.561 0.622
14 O 0.819 0.439 0.378
15 O 0.181 0.939 0.878
16 O 0.819 0.061 0.122

***

[7]
Compound: Ac4RuSeS2
Source: Alexandria
Functional: PBE-GGA
Structure: optimized geometry

Computed properties:
raw total energy = -6.1301 eV per atom

abc: 6.158 6.158 7.602
angles: 113.89 113.89 90.00
Atoms (fractional coordinates):
1 S 0.250 0.750 0.500
2 S 0.000 0.000 0.000
3 Ac 0.512 0.012 0.024
4 Ac 0.755 0.755 0.509
5 Ac 0.245 0.245 0.491
6 Ac 0.988 0.488 0.976
7 Se 0.500 0.500 0.000
8 Ru 0.750 0.250 0.500

***

[8]
Compound: CoSiTe2I
Source: Alexandria
Functional: PBE-GGA
Structure: optimized geometry

Computed properties:
raw total energy = -3.1105 eV per atom

abc: 5.305 5.305 5.392
angles: 90.00 90.00 90.00
Atoms (fractional coordinates):
1 Co 0.500 0.500 0.500
2 I 0.000 0.000 0.500
3 Te 0.500 0.000 0.000
4 Te 0.000 0.500 0.000
5 Si 0.000 0.000 0.000

***

[9]
Compound: LiURh
Source: Alexandria
Functional: PBE-GGA
Structure: optimized geometry

Computed properties:
energy relative to the elements = -0.31 eV per formula unit
raw total energy = -6.9559 eV per atom

abc: 4.289 4.289 12.116
angles: 51.71 51.71 39.16
Atoms (fractional coordinates):
1 Rh 0.989 0.989 0.898
2 Rh 0.764 0.764 0.409
3 Li 0.440 0.440 0.725
4 Li 0.313 0.313 0.582
5 U 0.664 0.664 0.246
6 U 0.089 0.089 0.061

***

[10]
Compound: TiBeNb
Source: Alexandria
Functional: PBE-GGA
Structure: optimized geometry

Computed properties:
energy relative to the elements = 0.98 eV per formula unit
raw total energy = -6.9050 eV per atom

abc: 2.706 4.408 4.408
angles: 120.00 90.00 90.00
Atoms (fractional coordinates):
1 Be 0.666 0.667 0.333
2 Ti 0.167 0.000 0.000
3 Nb 0.167 0.333 0.667

***

[11]
Compound: SrTl2Pd4
Source: Alexandria
Functional: PBE-GGA
Structure: optimized geometry

Computed properties:
energy relative to the elements = -2.38 eV per formula unit
raw total energy = -4.2234 eV per atom

abc: 4.471 8.144 8.144
angles: 90.00 90.00 90.00
Atoms (fractional coordinates):
1 Tl 0.000 0.783 0.217
2 Tl 0.000 0.217 0.783
3 Tl 0.500 0.283 0.283
4 Tl 0.500 0.717 0.717
5 Pd 0.000 0.096 0.358
6 Pd 0.000 0.358 0.096
7 Pd 0.500 0.404 0.858
8 Pd 0.000 0.904 0.642
9 Pd 0.000 0.642 0.904
10 Pd 0.500 0.596 0.142
11 Pd 0.500 0.142 0.596
12 Pd 0.500 0.858 0.404
13 Sr 0.000 0.500 0.500
14 Sr 0.500 0.000 0.000

***

[12]
Compound: HgGe2PdRh
Source: Alexandria
Functional: PBE-GGA
Structure: optimized geometry

Computed properties:
energy relative to the elements = 6.59 eV per formula unit
raw total energy = -3.0984 eV per atom

abc: 4.983 5.049 4.983
angles: 90.00 90.00 90.00
Atoms (fractional coordinates):
1 Ge 0.500 0.000 0.000
2 Ge 0.000 0.000 0.500
3 Pd 0.500 0.500 0.500
4 Rh 0.000 0.500 0.000
5 Hg 0.000 0.000 0.000

***

[13]
Compound: Tm4PuGe4
Source: Alexandria
Functional: PBE-GGA
Structure: optimized geometry

Computed properties:
energy relative to the elements = -4.44 eV per formula unit
raw total energy = -6.1250 eV per atom

abc: 5.721 9.149 9.149
angles: 90.00 90.00 90.00
Atoms (fractional coordinates):
1 Tm 0.000 0.806 0.400
2 Tm 0.000 0.600 0.806
3 Tm 0.500 0.306 0.900
4 Tm 0.500 0.900 0.694
5 Tm 0.500 0.100 0.306
6 Tm 0.000 0.194 0.600
7 Tm 0.500 0.694 0.100
8 Tm 0.000 0.400 0.194
9 Ge 0.500 0.205 0.604
10 Ge 0.500 0.604 0.795
11 Ge 0.000 0.104 0.295
12 Ge 0.000 0.705 0.104
13 Ge 0.500 0.396 0.205
14 Ge 0.000 0.295 0.896
15 Ge 0.000 0.896 0.705
16 Ge 0.500 0.795 0.396
17 Pu 0.500 0.500 0.500
18 Pu 0.000 0.000 0.000

***

[14]
Compound: B3PbI
Source: Alexandria
Functional: PBE-GGA
Structure: optimized geometry

Computed properties:
raw total energy = -2.7008 eV per atom

abc: 4.527 4.527 4.527
angles: 90.00 90.00 90.00
Atoms (fractional coordinates):
1 B 0.500 0.000 0.000
2 B 0.000 0.500 0.000
3 B 0.000 0.000 0.500
4 Pb 0.500 0.500 0.500
5 I 0.000 0.000 0.000

***

[15]
Compound: La2TbSm2Y
Source: Alexandria
Functional: PBE-GGA
Structure: optimized geometry

Computed properties:
energy relative to the elements = 0.32 eV per formula unit
raw total energy = -5.0121 eV per atom

abc: 5.751 7.145 9.969
angles: 90.00 90.00 90.00
Atoms (fractional coordinates):
1 Tb 0.500 0.757 0.341
2 Tb 0.500 0.257 0.659
3 Sm 0.500 0.258 0.333
4 Sm 0.000 0.758 0.165
5 Sm 0.000 0.258 0.835
6 Sm 0.500 0.758 0.667
7 Y 0.000 0.008 0.500
8 Y 0.000 0.508 0.500
9 La 0.000 0.258 0.175
10 La 0.500 0.008 0.000
11 La 0.500 0.508 0.000
12 La 0.000 0.758 0.825

***

[16]
Compound: CsH2PdPb
Source: Alexandria
Functional: PBE-GGA
Structure: optimized geometry

Computed properties:
raw total energy = -2.3571 eV per atom

abc: 4.564 5.675 4.564
angles: 90.00 90.00 90.00
Atoms (fractional coordinates):
1 H 0.500 0.000 0.000
2 H 0.000 0.000 0.500
3 Pd 0.000 0.000 0.000
4 Cs 0.000 0.500 0.000
5 Pb 0.500 0.500 0.500

***

[17]
Compound: PaSnBr6
Source: Alexandria
Functional: PBE-GGA
Structure: optimized geometry

Computed properties:
raw total energy = -4.1364 eV per atom

abc: 7.251 8.675 7.436
angles: 107.00 98.02 126.64
Atoms (fractional coordinates):
1 Br 0.854 0.115 0.702
2 Br 0.146 0.885 0.298
3 Br 0.847 0.586 0.702
4 Br 0.153 0.414 0.298
5 Br 0.481 0.743 0.000
6 Br 0.519 0.257 0.000
7 Pa 0.000 0.500 0.000
8 Sn 0.000 0.000 0.000

***

[18]
Compound: Pr3NdAl8
Source: Alexandria
Functional: PBE-GGA
Structure: optimized geometry

Computed properties:
energy relative to the elements = -5.90 eV per formula unit
raw total energy = -4.5786 eV per atom

abc: 5.707 5.707 9.892
angles: 73.23 73.23 60.00
Atoms (fractional coordinates):
1 Al 0.437 0.937 0.188
2 Al 0.937 0.437 0.188
3 Al 0.438 0.938 0.687
4 Al 0.938 0.438 0.687
5 Al 0.188 0.188 0.437
6 Al 0.437 0.437 0.188
7 Al 0.687 0.687 0.938
8 Al 0.938 0.938 0.687
9 Nd 0.875 0.875 0.375
10 Pr 0.375 0.375 0.875
11 Pr 0.500 0.500 0.500
12 Pr 0.000 0.000 0.000

***

[19]
Compound: La3Pr5Ga2
Source: Alexandria
Functional: PBE-GGA
Structure: optimized geometry

Computed properties:
energy relative to the elements = -1.50 eV per formula unit
raw total energy = -4.6234 eV per atom

abc: 4.568 12.121 12.121
angles: 90.00 90.00 90.00
Atoms (fractional coordinates):
1 Pr 0.500 0.500 0.000
2 Pr 0.500 0.000 0.500
3 Pr 0.500 0.928 0.215
4 Pr 0.500 0.715 0.428
5 Pr 0.500 0.072 0.785
6 Pr 0.500 0.285 0.572
7 Pr 0.500 0.215 0.072
8 Pr 0.500 0.785 0.928
9 Pr 0.500 0.572 0.715
10 Pr 0.500 0.428 0.285
11 Ga 0.000 0.624 0.876
12 Ga 0.000 0.124 0.624
13 Ga 0.000 0.876 0.376
14 Ga 0.000 0.376 0.124
15 La 0.000 0.175 0.325
16 La 0.000 0.675 0.175
17 La 0.000 0.825 0.675
18 La 0.000 0.000 0.000
19 La 0.000 0.500 0.500
20 La 0.000 0.325 0.825

***

[20]
Compound: Ac5Tl2Cu2
Source: Alexandria
Functional: PBE-GGA
Structure: optimized geometry

Computed properties:
energy relative to the elements = -1.33 eV per formula unit
raw total energy = -3.8664 eV per atom

abc: 7.963 9.096 9.670
angles: 118.06 90.00 90.00
Atoms (fractional coordinates):
1 Tl 0.500 0.713 0.427
2 Tl 0.000 0.787 0.573
3 Tl 0.500 0.287 0.573
4 Tl 0.000 0.213 0.427
5 Ac 0.344 0.693 0.748
6 Ac 0.344 0.945 0.252
7 Ac 0.000 0.000 0.000
8 Ac 0.156 0.445 0.252
9 Ac 0.844 0.807 0.252
10 Ac 0.500 0.500 0.000
11 Ac 0.656 0.055 0.748
12 Ac 0.156 0.193 0.748
13 Ac 0.656 0.307 0.252
14 Ac 0.844 0.555 0.748
15 Cu 0.624 0.894 0.000
16 Cu 0.876 0.394 0.000
17 Cu 0.376 0.106 0.000
18 Cu 0.124 0.606 0.000